# CsBa3I, relaxed, DFT PBE
# Formation energy (no corrections), eV per formula unit: 2.1
# M_tot, μB per cell: 2.436
# Fermi-level density of states, states/eV/atom: 1.723
# Electronic total energy, eV/cell: -6.10
data_CsBa3I
_space_group_name_H-M_alt 'P m -3 m'
_space_group_IT_number 221
_space_group_name_Hall '-P 4 2 3'
_cell_length_a 6.890
_cell_length_b 6.890
_cell_length_c 6.890
_cell_angle_alpha 90.00
_cell_angle_beta 90.00
_cell_angle_gamma 90.00
loop_
_atom_site_label
_atom_site_type_symbol
_atom_site_fract_x
_atom_site_fract_y
_atom_site_fract_z
_atom_site_occupancy
Cs1 Cs 0.000 0.000 0.000 1
Ba1 Ba 0.000 0.000 0.500 1
I1 I 0.500 0.500 0.500 1